The following is a DFT calculation (PBE) of a relaxed PmAg3 crystal.

Output
energy of formation from the pure elements = -0.190 eV/atom
calculated total energy = -3.52 eV per atom

Unit cell a=5.0306 b=5.0306 c=5.0306 alpha=121.63 beta=121.63 gamma=87.21
With the nearest neighbours (Å) after each atom.
Sites, in units of the cell vectors:
Pm 0.0000 0.0000 0.0000  8 Ag 3.06
Ag 0.2500 0.7500 0.5000  4 Ag 3.06, 4 Pm 3.06
Ag 0.5000 0.5000 0.0000  8 Ag 3.06
Ag 0.7500 0.2500 0.5000  4 Ag 3.06, 4 Pm 3.06

***

The following is a DFT calculation (PBE) of a relaxed Pm2Ag5 crystal.

Output
energy of formation from the pure elements = -0.212 eV/atom
calculated total energy = -3.61 eV per atom

Unit cell a=8.2729 b=8.2729 c=8.2729 alpha=123.97 beta=73.71 gamma=136.20
With the nearest neighbours (Å) after each atom.
Sites, in units of the cell vectors:
Pm 0.1029 0.1845 0.2874  10 Ag 3.13-3.28
Pm 0.3971 0.6845 0.0816  10 Ag 3.13-3.28
Pm 0.6029 0.3155 0.9184  10 Ag 3.13-3.28
Pm 0.8971 0.8155 0.7126  10 Ag 3.13-3.28
Ag 0.0311 0.7500 0.2811  7 Ag 2.87-3.09, 2 Pm 3.16
Ag 0.1368 0.7784 0.9153  4 Ag 2.87-3.00, 4 Pm 3.13-3.19
Ag 0.2500 0.7500 0.5000  8 Ag 2.90-3.22, 4 Pm 3.20
Ag 0.3632 0.2784 0.6416  4 Ag 2.87-3.00, 4 Pm 3.13-3.19
Ag 0.4689 0.7500 0.7189  7 Ag 2.87-3.09, 2 Pm 3.16
Ag 0.5311 0.2500 0.2811  7 Ag 2.87-3.09, 2 Pm 3.16
Ag 0.6368 0.7216 0.3584  4 Ag 2.87-3.00, 4 Pm 3.13-3.19
Ag 0.7500 0.2500 0.5000  8 Ag 2.90-3.22, 4 Pm 3.20
Ag 0.8632 0.2216 0.0847  4 Ag 2.87-3.00, 4 Pm 3.13-3.19
Ag 0.9689 0.2500 0.7189  7 Ag 2.87-3.09, 2 Pm 3.16

***

The following is a DFT calculation (PBE) of a relaxed Pm2Ag7 crystal.

Output
energy of formation from the pure elements = -0.136 eV/atom
calculated total energy = -3.41 eV per atom

Unit cell a=14.4608 b=14.4608 c=14.4608 alpha=22.58 beta=22.58 gamma=22.58
With the nearest neighbours (Å) after each atom.
Sites, in units of the cell vectors:
Pm 0.0508 0.0508 0.0508  12 Ag 3.28-3.55
Pm 0.1488 0.1488 0.1488  12 Ag 3.24-3.48, 3 Pm 3.60
Pm 0.8512 0.8512 0.8512  12 Ag 3.24-3.48, 3 Pm 3.60
Pm 0.9492 0.9492 0.9492  12 Ag 3.28-3.55
Ag 0.0000 0.5000 0.5000  8 Ag 2.83-2.87
Ag 0.1081 0.6133 0.6133  7 Ag 2.80-2.88
Ag 0.2775 0.2775 0.2775  6 Ag 2.86-2.87
Ag 0.3867 0.3867 0.8919  7 Ag 2.80-2.88
Ag 0.3867 0.8919 0.3867  7 Ag 2.80-2.88
Ag 0.3892 0.3892 0.3892  6 Ag 2.87-2.88
Ag 0.5000 0.0000 0.5000  8 Ag 2.83-2.87
Ag 0.5000 0.5000 0.0000  8 Ag 2.83-2.87
Ag 0.5000 0.5000 0.5000  6 Ag 2.85
Ag 0.6108 0.6108 0.6108  6 Ag 2.87-2.88
Ag 0.6133 0.1081 0.6133  7 Ag 2.80-2.88
Ag 0.6133 0.6133 0.1081  7 Ag 2.80-2.88
Ag 0.7225 0.7225 0.7225  6 Ag 2.86-2.87
Ag 0.8919 0.3867 0.3867  7 Ag 2.80-2.88

***

The following is a DFT calculation (PBE) of a relaxed Pm7Ag3 crystal.

Output
energy of formation from the pure elements = -0.115 eV/atom
calculated total energy = -4.30 eV per atom

Unit cell a=10.4000 b=10.4000 c=6.4650 alpha=90.00 beta=90.00 gamma=120.00
With the nearest neighbours (Å) after each atom.
Sites, in units of the cell vectors:
Pm 0.0674 0.5337 0.0000  2 Ag 3.05
Pm 0.1263 0.2526 0.7235  3 Ag 3.10-3.11
Pm 0.1263 0.8737 0.7235  3 Ag 3.10-3.11
Pm 0.2526 0.1263 0.2235  3 Ag 3.10-3.11
Pm 0.3333 0.6667 0.5618  3 Ag 3.10
Pm 0.4663 0.5337 0.0000  2 Ag 3.05
Pm 0.4663 0.9326 0.0000  2 Ag 3.05
Pm 0.5337 0.0674 0.5000  2 Ag 3.05
Pm 0.5337 0.4663 0.5000  2 Ag 3.05
Pm 0.6667 0.3333 0.0618  3 Ag 3.10
Pm 0.7474 0.8737 0.7235  3 Ag 3.10-3.11
Pm 0.8737 0.1263 0.2235  3 Ag 3.10-3.11
Pm 0.8737 0.7474 0.2235  3 Ag 3.10-3.11
Pm 0.9326 0.4663 0.5000  2 Ag 3.05
Ag 0.1941 0.3882 0.2808  6 Pm 3.05-3.11
Ag 0.1941 0.8059 0.2808  6 Pm 3.05-3.11
Ag 0.3882 0.1941 0.7808  6 Pm 3.05-3.11
Ag 0.6118 0.8059 0.2808  6 Pm 3.05-3.11
Ag 0.8059 0.1941 0.7808  6 Pm 3.05-3.11
Ag 0.8059 0.6118 0.7808  6 Pm 3.05-3.11

***

The following is a DFT calculation (PBE) of a relaxed Pm3Ag crystal.

Output
energy of formation from the pure elements = -0.091 eV/atom
calculated total energy = -4.37 eV per atom

Unit cell a=6.6191 b=6.6191 c=6.6191 alpha=146.35 beta=130.72 gamma=61.00
With the nearest neighbours (Å) after each atom.
Sites, in units of the cell vectors:
Pm 0.0000 0.0000 0.0000  4 Ag 3.36, 8 Pm 3.72-3.74
Pm 0.2811 0.7811 0.5000  2 Ag 3.15, 4 Pm 3.43
Pm 0.7189 0.2189 0.5000  2 Ag 3.15, 4 Pm 3.43
Ag 0.5000 0.5000 0.0000  8 Pm 3.15-3.36

***

The following is a DFT calculation (PBE) of a relaxed Pm3Ag4 crystal.

Output
energy of formation from the pure elements = -0.063 eV/atom
calculated total energy = -3.73 eV per atom

Unit cell a=9.0385 b=9.0385 c=9.0385 alpha=33.13 beta=33.13 gamma=33.13
With the nearest neighbours (Å) after each atom.
Sites, in units of the cell vectors:
Pm 0.0000 0.0000 0.0000  8 Ag 3.10
Pm 0.2419 0.2419 0.2419  8 Ag 3.07-3.31
Pm 0.7581 0.7581 0.7581  8 Ag 3.07-3.31
Ag 0.1210 0.1210 0.1210  5 Pm 3.07-3.10
Ag 0.3679 0.3679 0.3679  7 Pm 3.10-3.31, 3 Ag 3.46
Ag 0.6321 0.6321 0.6321  7 Pm 3.10-3.31, 3 Ag 3.46
Ag 0.8790 0.8790 0.8790  5 Pm 3.07-3.10

***

calculated total energy of number 6 (Pm3Ag4)?
-3.73 eV per atom

***

What is the energy of formation from the pure elements in the sixth record?
-0.063 eV/atom

***

Look up the energy of formation from the pure elements of the first one.
-0.190 eV/atom

***

energy of formation from the pure elements of number 1 (PmAg3)?
-0.190 eV/atom